# Na2SrHPb, optimized geometry, DFT PBE
# - Crystal system: tetragonal
# - V: 127.7 Å³/cell
# - E: -12.80 eV for the cell shown
data_Na2SrHPb
_symmetry_space_group_name_H-M 'P 4/m m m'
_symmetry_Int_Tables_number 123
_symmetry_space_group_name_Hall '-P 4 2'
_cell_length_a 4.983
_cell_length_b 4.983
_cell_length_c 5.143
_cell_angle_alpha 90.00
_cell_angle_beta 90.00
_cell_angle_gamma 90.00
loop_
_atom_site_label
_atom_site_type_symbol
_atom_site_fract_x
_atom_site_fract_y
_atom_site_fract_z
_atom_site_occupancy
Na1 Na 0.000 0.500 0.000 1
Sr1 Sr 0.000 0.000 0.500 1
H1 H 0.000 0.000 0.000 1
Pb1 Pb 0.500 0.500 0.500 1

---

# ZnTc2Se, optimized geometry, DFT PBE
# - Crystal system: tetragonal
# - Raw formation energy: 464 meV/atom
# - V: 268.3 Å³/cell
# - Polymorph energy (0 for the lowest one): 413 meV/atom
data_ZnTc2Se
_symmetry_space_group_name_H-M 'I -4 2 d'
_symmetry_Int_Tables_number 122
_symmetry_space_group_name_Hall 'I -4 2bw'
_cell_length_a 3.836
_cell_length_b 3.836
_cell_length_c 18.226
_cell_angle_alpha 90.00
_cell_angle_beta 90.00
_cell_angle_gamma 90.00
loop_
_atom_site_label
_atom_site_type_symbol
_atom_site_fract_x
_atom_site_fract_y
_atom_site_fract_z
_atom_site_occupancy
Zn1 Zn 0.000 0.000 0.000 1
Tc1 Tc 0.204 0.250 0.625 1
Se1 Se 0.000 0.000 0.500 1

---

Number 1: DOS at the Fermi energy 2.1 states/eV/f.u.. Number 2: DOS at the Fermi energy 3.6 states/eV/f.u..